No. 1
VASP calculation (PBE) on an optimized crystal structure of PuBePt.

Properties
- Energy above the lowest structure with this stoichiometry: 0.045 eV per atom
- Total moment: 21.47 μB/cell
- Raw total energy: -24.20 eV/f.u.

Cell lengths 6.173, 6.173, 6.173 Å; angles 90.00, 90.00, 90.00 degrees
Sites, in units of the cell vectors:
Pu1 0.000 0.000 0.000
Pu2 0.000 0.500 0.500
Pu3 0.500 0.000 0.500
Pu4 0.500 0.500 0.000
Be1 0.000 0.000 0.500
Be2 0.000 0.500 0.000
Be3 0.500 0.000 0.000
Be4 0.500 0.500 0.500
Pt1 0.250 0.250 0.750
Pt2 0.250 0.750 0.250
Pt3 0.750 0.250 0.250
Pt4 0.750 0.750 0.750

No. 2
VASP calculation (PBE) on an optimized crystal structure of RbBe2Pt2.

Properties
- Total moment: 0.03 μB/cell
- Raw total energy: -21.58 eV/f.u.

Cell lengths 3.648, 3.648, 14.990 Å; angles 90.00, 90.00, 90.00 degrees
Sites, in units of the cell vectors:
Rb1 0.000 0.000 0.000
Rb2 0.500 0.500 0.500
Be1 0.000 0.500 0.250
Be2 0.000 0.500 0.750
Be3 0.500 0.000 0.250
Be4 0.500 0.000 0.750
Pt1 0.000 0.000 0.338
Pt2 0.000 0.000 0.662
Pt3 0.500 0.500 0.162
Pt4 0.500 0.500 0.838

No. 3
VASP calculation (PBE) on an optimized crystal structure of RbBeSbPt.

Properties
- Energy above the lowest structure with this stoichiometry: 0.224 eV per atom
- Total moment: 0.00 μB/cell
- Raw total energy: -11.72 eV/f.u.

Cell lengths 7.090, 7.090, 7.090 Å; angles 90.00, 90.00, 90.00 degrees
Sites, in units of the cell vectors:
Rb1 0.000 0.000 0.000
Rb2 0.000 0.500 0.500
Rb3 0.500 0.000 0.500
Rb4 0.500 0.500 0.000
Be1 0.000 0.000 0.500
Be2 0.000 0.500 0.000
Be3 0.500 0.000 0.000
Be4 0.500 0.500 0.500
Sb1 0.250 0.250 0.250
Sb2 0.250 0.750 0.750
Sb3 0.750 0.250 0.750
Sb4 0.750 0.750 0.250
Pt1 0.250 0.250 0.750
Pt2 0.250 0.750 0.250
Pt3 0.750 0.250 0.250
Pt4 0.750 0.750 0.750

No. 4
VASP calculation (PBE) on an optimized crystal structure of RbBeSbPt.

Properties
- Energy above the lowest structure with this stoichiometry: 0.000 eV per atom
- Total moment: 0.01 μB/cell
- Raw total energy: -12.61 eV/f.u.

Cell lengths 6.952, 6.952, 6.952 Å; angles 90.00, 90.00, 90.00 degrees
Sites, in units of the cell vectors:
Rb1 0.000 0.000 0.000
Rb2 0.000 0.500 0.500
Rb3 0.500 0.000 0.500
Rb4 0.500 0.500 0.000
Be1 0.250 0.250 0.750
Be2 0.250 0.750 0.250
Be3 0.750 0.250 0.250
Be4 0.750 0.750 0.750
Sb1 0.250 0.250 0.250
Sb2 0.250 0.750 0.750
Sb3 0.750 0.250 0.750
Sb4 0.750 0.750 0.250
Pt1 0.000 0.000 0.500
Pt2 0.000 0.500 0.000
Pt3 0.500 0.000 0.000
Pt4 0.500 0.500 0.500

No. 5
VASP calculation (PBE) on an optimized crystal structure of BeRePt.

Properties
- Energy above the lowest structure with this stoichiometry: 0.270 eV per atom
- Total moment: 2.02 μB/cell
- Raw total energy: -20.36 eV/f.u.

Cell lengths 5.761, 5.761, 5.761 Å; angles 90.00, 90.00, 90.00 degrees
Sites, in units of the cell vectors:
Be1 0.000 0.000 0.000
Be2 0.000 0.500 0.500
Be3 0.500 0.000 0.500
Be4 0.500 0.500 0.000
Re1 0.250 0.250 0.250
Re2 0.250 0.750 0.750
Re3 0.750 0.250 0.750
Re4 0.750 0.750 0.250
Pt1 0.000 0.000 0.500
Pt2 0.000 0.500 0.000
Pt3 0.500 0.000 0.000
Pt4 0.500 0.500 0.500

No. 6
VASP calculation (PBE) on an optimized crystal structure of BeRePt2.

Properties
- Total moment: 0.01 μB/cell
- Raw total energy: -27.80 eV/f.u.

Cell lengths 6.077, 6.077, 6.077 Å; angles 90.00, 90.00, 90.00 degrees
Sites, in units of the cell vectors:
Be1 0.000 0.000 0.000
Be2 0.000 0.500 0.500
Be3 0.500 0.000 0.500
Be4 0.500 0.500 0.000
Re1 0.250 0.250 0.250
Re2 0.250 0.750 0.750
Re3 0.750 0.250 0.750
Re4 0.750 0.750 0.250
Pt1 0.000 0.000 0.500
Pt2 0.000 0.500 0.000
Pt3 0.250 0.250 0.750
Pt4 0.250 0.750 0.250
Pt5 0.500 0.000 0.000
Pt6 0.500 0.500 0.500
Pt7 0.750 0.250 0.250
Pt8 0.750 0.750 0.750